No. 1
Material: La4CeEr8
Method: DFT, PBE
State: relaxed

```
La4CeEr8
1.0
5.520 3.187 4.478
-5.520 3.187 4.478
0.000 -6.374 4.478
La Ce Er
4 1 8
Direct
0.000 0.000 0.000
0.000 0.500 0.500
0.500 0.000 0.500
0.500 0.500 0.000
0.500 0.500 0.500
0.241 0.241 0.756
0.241 0.756 0.241
0.242 0.242 0.242
0.244 0.759 0.759
0.756 0.241 0.241
0.758 0.758 0.758
0.759 0.244 0.759
0.759 0.759 0.244
```

## Properties
- DOS(E_F) (states/eV/atom) = 1.93
- SG = R-3m (166)
- total moment (μB per formula unit) = 2.64
- VASP energy (Ry per atom) = -0.311

No. 2
Material: Cs2CrCdS4
Method: DFT, PBE
State: relaxed

```
Cs2CrCdS4
1.0
0.000 7.107 12.456
3.026 0.000 12.456
3.026 7.107 0.000
Cs Cr Cd S
4 2 2 8
Direct
0.053 0.053 0.697
0.303 0.303 0.947
0.697 0.697 0.053
0.947 0.947 0.303
0.375 0.375 0.375
0.625 0.625 0.625
0.125 0.125 0.125
0.875 0.875 0.875
0.024 0.624 0.543
0.309 0.543 0.624
0.376 0.976 0.691
0.457 0.691 0.976
0.543 0.309 0.024
0.624 0.024 0.309
0.691 0.457 0.376
0.976 0.376 0.457
```

## Properties
- SG = Fddd (70)
- total moment (μB per formula unit) = 2.00
- raw formation energy (meV per atom) = -867